No. 1
Below is a relaxed Tb3PmCl crystal, with properties calculated at the PBE level.

Cell: 5.329 5.329 5.329 Å, 90.00 90.00 90.00°
Fractional positions:
Cl 0.000 0.000 0.000
Tb 0.500 0.000 0.000
Tb 0.000 0.500 0.000
Tb 0.000 0.000 0.500
Pm 0.500 0.500 0.500

Calculated values
Formation energy from raw total energies: -0.468 eV per atom
Magnetization: 0.000 μB per atom
DFT total energy: -0.168 hartree per atom



No. 2
Below is a relaxed TbPm2Cl8 crystal, with properties calculated at the PBE level.

Cell: 5.695 7.443 7.443 Å, 112.36 99.21 99.21°
Each line ends with the local moment (μB).
Fractional positions:
Cl 0.104 0.335 0.074  0.00
Cl 0.315 0.646 0.646  0.00
Cl 0.896 0.926 0.665  0.00
Cl 0.104 0.074 0.335  0.00
Cl 0.685 0.354 0.354  0.00
Cl 0.500 0.219 0.781  0.00
Cl 0.500 0.781 0.219  0.00
Cl 0.896 0.665 0.926  0.00
Pm 0.000 0.311 0.689  0.13
Pm 0.000 0.689 0.311  0.13
Tb 0.500 0.000 0.000  0.40

Calculated values
Formation energy from raw total energies: -2.013 eV per atom
Magnetization: 0.096 μB per atom
DFT total energy: -0.171 hartree per atom



No. 3
Below is a relaxed TbPmCl6 crystal, with properties calculated at the PBE level.

Cell: 7.168 7.168 6.754 Å, 97.31 97.31 123.80°
Fractional positions:
Cl 0.252 0.252 0.746
Cl 0.748 0.748 0.254
Cl 0.397 0.115 0.255
Cl 0.603 0.885 0.745
Cl 0.885 0.603 0.745
Cl 0.115 0.397 0.255
Pm 0.000 0.000 0.000
Tb 0.500 0.500 0.500

Calculated values
Formation energy from raw total energies: -2.250 eV per atom
Magnetization: 0.000 μB per atom
DFT total energy: -0.177 hartree per atom